First-principles (PBE) data for an optimized crystal structure of Y2RuI, as listed in Alexandria via LeMat-Bulk.

Lattice parameters (Å, degrees): 6.8141 6.8141 7.8420 64.25 64.25 90.00
Positions (direct):
I 0.0000 0.0000 0.0000
I 0.7500 0.2500 0.5000
Ru 0.5000 0.5000 0.0000
Ru 0.2500 0.7500 0.5000
Y 0.5447 0.1250 0.2500
Y 0.2053 0.6250 0.2500
Y 0.3750 0.4553 0.7500
Y 0.8750 0.7947 0.7500

Values from the calculation:
energy above the most stable polymorph in this dataset: 0.5435 eV per atom
formation energy (no corrections): -0.17 eV per formula unit
N(E_F): 16.24 states/eV/cell
total magnetization: 0.0000 μB/atom
density: 4.7 g cm⁻³

=====

First-principles (PBE) data for an optimized crystal structure of Pm6Dy5Tm, as listed in Alexandria via LeMat-Bulk.

Lattice parameters (Å, degrees): 5.0900 10.1046 9.4962 122.14 105.54 90.00
Positions (direct):
Dy 0.6665 0.1665 0.3331
Dy 0.3334 0.3335 0.6669
Dy 0.0000 0.5000 0.0000
Dy 0.6666 0.6665 0.3331
Dy 0.3335 0.8335 0.6669
Tm 0.0000 0.0000 0.0000
Pm 0.8335 0.5840 0.6670
Pm 0.8335 0.0830 0.6670
Pm 0.5000 0.7508 0.0000
Pm 0.5000 0.2492 0.0000
Pm 0.1665 0.9170 0.3330
Pm 0.1665 0.4160 0.3330

Values from the calculation:
formation energy from the elements: 16 meV/atom
N(E_F): 15.68 states/eV/cell
total magnetization: 0.0000 μB/atom
density: 7.8 g cm⁻³

=====

First-principles (PBE) data for an optimized crystal structure of SrCrS2Cl, as listed in Alexandria via LeMat-Bulk.

Lattice parameters (Å, degrees): 5.6358 5.6358 5.4251 90.00 90.00 90.00
Positions (direct):
Sr 0.0000 0.0000 0.0000
S 0.0000 0.5000 0.0000
S 0.5000 0.0000 0.0000
Cl 0.0000 0.0000 0.5000
Cr 0.5000 0.5000 0.5000

Values from the calculation:
energy above the most stable polymorph in this dataset: 1.2066 eV per atom
formation energy (no corrections): 0.10 eV per formula unit
N(E_F): 4.27 states/eV/cell
total magnetization: 0.5967 μB/atom
density: 2.3 g cm⁻³